Record 1
Compound: Gd2GaAg
Source: the Alexandria database
Functional: PBE-GGA
Structure: optimized geometry

Cell lengths 9.033, 9.033, 9.033 Å; angles 23.88, 23.88, 23.88 degrees
Element x y z (fractional)
Gd: 0.247 0.247 0.247
Gd: 0.753 0.753 0.753
Ga: 0.500 0.500 0.500
Ag: 0.000 0.000 0.000

Calculated values
For the density of states at the Fermi level, the calculation gives 3.5 states/eV per cell. The formation energy from the elements comes out at -0.237 eV per atom. As for the raw total energy: -8.75 eV per atom. The value obtained for the spin magnetization is 15.11 μB/cell. Its space group is R-3m (166).

---

Record 2
Compound: PrErNiRh
Source: the Alexandria database
Functional: PBE-GGA
Structure: optimized geometry

Cell lengths 4.117, 5.763, 5.763 Å; angles 39.40, 90.00, 90.00 degrees
Element x y z (fractional)
Pr: 0.000 0.000 0.000
Er: 0.500 0.280 0.280
Ni: 0.500 0.572 0.572
Rh: 0.000 0.727 0.727

Calculated values
For the density of states at the Fermi level, the calculation gives 2.4 states/eV per cell. The formation energy from the elements comes out at -0.577 eV per atom. As for the raw total energy: -6.20 eV per atom. The energy relative to the lowest polymorph listed for this composition is 0.0 meV per atom. The value obtained for the spin magnetization is 0.00 μB/cell. Its space group is Amm2 (38).

---

Record 3
Compound: Na3BiCl6
Source: the Alexandria database
Functional: PBE-GGA
Structure: optimized geometry

Cell lengths 7.029, 7.383, 12.485 Å; angles 90.00, 123.02, 90.00 degrees
Element x y z (fractional)
Na: 0.000 0.000 0.000
Na: 0.000 0.500 0.500
Na: 0.206 0.070 0.725
Na: 0.206 0.430 0.225
Na: 0.794 0.570 0.775
Na: 0.794 0.930 0.275
Bi: 0.500 0.000 0.500
Bi: 0.500 0.500 0.000
Cl: 0.119 0.180 0.444
Cl: 0.119 0.320 0.944
Cl: 0.231 0.696 0.407
Cl: 0.231 0.804 0.907
Cl: 0.405 0.081 0.261
Cl: 0.405 0.419 0.761
Cl: 0.595 0.581 0.239
Cl: 0.595 0.919 0.739
Cl: 0.769 0.196 0.093
Cl: 0.769 0.304 0.593
Cl: 0.881 0.680 0.056
Cl: 0.881 0.820 0.556

Calculated values
For the density of states at the Fermi level, the calculation gives 0.0 states/eV per cell. As for the raw total energy: -3.37 eV per atom. Its raw formation energy is -1.48 eV per atom. The value obtained for the spin magnetization is 0.00 μB/cell. Its space group is P2_1/c (14).

---

Record 4
Compound: HoTmPuTh
Source: the Alexandria database
Functional: PBE-GGA
Structure: optimized geometry

Cell lengths 5.540, 5.540, 5.540 Å; angles 60.00, 60.00, 60.00 degrees
Element x y z (fractional)
Ho: 0.000 0.000 0.000
Tm: 0.250 0.250 0.250
Pu: 0.750 0.750 0.750
Th: 0.500 0.500 0.500

Calculated values
For the density of states at the Fermi level, the calculation gives 11.6 states/eV per cell. The formation energy from the elements comes out at 0.196 eV per atom. As for the raw total energy: -7.50 eV per atom. The value obtained for the spin magnetization is 8.04 μB/cell. Its space group is F-43m (216).

---

Record 5
Compound: CeSc5Rh6
Source: the Alexandria database
Functional: PBE-GGA
Structure: optimized geometry

Cell lengths 7.217, 7.217, 6.767 Å; angles 90.00, 90.00, 143.13 degrees
Element x y z (fractional)
Ce: 0.000 0.000 0.000
Sc: 0.000 0.000 0.500
Sc: 0.328 0.672 0.000
Sc: 0.332 0.668 0.500
Sc: 0.668 0.332 0.500
Sc: 0.672 0.328 0.000
Rh: 0.168 0.832 0.255
Rh: 0.168 0.832 0.745
Rh: 0.500 0.500 0.260
Rh: 0.500 0.500 0.740
Rh: 0.832 0.168 0.255
Rh: 0.832 0.168 0.745

Calculated values
For the density of states at the Fermi level, the calculation gives 6.2 states/eV per cell. The formation energy from the elements comes out at -0.935 eV per atom. As for the raw total energy: -7.74 eV per atom. The value obtained for the spin magnetization is 0.23 μB/cell. Its space group is Cmmm (65).

---

Record 6
Compound: CaZnSCl2
Source: the Alexandria database
Functional: PBE-GGA
Structure: optimized geometry

Cell lengths 4.800, 4.800, 4.906 Å; angles 90.00, 90.00, 90.00 degrees
Element x y z (fractional)
Ca: 0.000 0.000 0.000
Zn: 0.500 0.500 0.500
S: 0.500 0.500 0.000
Cl: 0.000 0.500 0.500
Cl: 0.500 0.000 0.500

Calculated values
For the density of states at the Fermi level, the calculation gives 0.0 states/eV per cell. As for the raw total energy: -3.41 eV per atom. Its raw formation energy is -1.19 eV per atom. The energy relative to the lowest polymorph listed for this composition is 0.0 meV per atom. The value obtained for the spin magnetization is 0.00 μB/cell. Its space group is P4/mmm (123).

---

Record 7
Compound: Re2AgW
Source: the Alexandria database
Functional: PBE-GGA
Structure: optimized geometry

Cell lengths 2.711, 2.711, 9.319 Å; angles 90.00, 90.00, 110.14 degrees
Element x y z (fractional)
Re: 0.000 0.000 0.235
Re: 0.000 0.000 0.765
Ag: 0.500 0.500 0.500
W: 0.500 0.500 0.000

Calculated values
For the density of states at the Fermi level, the calculation gives 3.0 states/eV per cell. The formation energy from the elements comes out at 0.373 eV per atom. As for the raw total energy: -9.80 eV per atom. The energy relative to the lowest polymorph listed for this composition is 62.3 meV per atom. The value obtained for the spin magnetization is 0.00 μB/cell. Its space group is Cmmm (65).

---

Record 8
Compound: CaCdGeH2
Source: the Alexandria database
Functional: PBE-GGA
Structure: optimized geometry

Cell lengths 4.231, 4.231, 5.374 Å; angles 90.00, 90.00, 90.00 degrees
Element x y z (fractional)
Ca: 0.000 0.000 0.000
Cd: 0.500 0.500 0.000
Ge: 0.500 0.500 0.500
H: 0.000 0.500 0.500
H: 0.500 0.000 0.500

Calculated values
For the density of states at the Fermi level, the calculation gives 2.1 states/eV per cell. As for the raw total energy: -2.51 eV per atom. The value obtained for the spin magnetization is 0.00 μB/cell. Its space group is P4/mmm (123).

---

Record 9
Compound: Al4Fe
Source: the Alexandria database
Functional: PBE-GGA
Structure: optimized geometry

Cell lengths 4.843, 4.843, 4.843 Å; angles 109.47, 109.47, 109.47 degrees
Element x y z (fractional)
Al: 0.000 0.000 0.500
Al: 0.000 0.500 0.000
Al: 0.500 0.000 0.000
Al: 0.500 0.500 0.500
Fe: 0.000 0.000 0.000

Calculated values
For the density of states at the Fermi level, the calculation gives 3.3 states/eV per cell. The formation energy from the elements comes out at -0.077 eV per atom. As for the raw total energy: -4.76 eV per atom. The energy relative to the lowest polymorph listed for this composition is 112.7 meV per atom. The value obtained for the spin magnetization is 1.46 μB/cell. Its space group is Im-3m (229).

---

Record 10
Compound: HgB3Au
Source: the Alexandria database
Functional: PBE-GGA
Structure: optimized geometry

Cell lengths 4.382, 4.382, 4.382 Å; angles 90.00, 90.00, 90.00 degrees
Element x y z (fractional)
Hg: 0.000 0.000 0.000
B: 0.000 0.000 0.500
B: 0.000 0.500 0.000
B: 0.500 0.000 0.000
Au: 0.500 0.500 0.500

Calculated values
For the density of states at the Fermi level, the calculation gives 3.4 states/eV per cell. The formation energy from the elements comes out at 2.307 eV per atom. As for the raw total energy: -2.41 eV per atom. The energy relative to the lowest polymorph listed for this composition is 571.4 meV per atom. The value obtained for the spin magnetization is 0.00 μB/cell. Its space group is Pm-3m (221).

---

Record 11
Compound: Ca3GeI
Source: the Alexandria database
Functional: PBE-GGA
Structure: optimized geometry

Cell lengths 7.837, 7.837, 8.312 Å; angles 113.55, 113.55, 60.14 degrees
Element x y z (fractional)
Ca: 0.056 0.578 0.248
Ca: 0.063 0.063 0.246
Ca: 0.422 0.944 0.752
Ca: 0.578 0.056 0.248
Ca: 0.937 0.937 0.754
Ca: 0.944 0.422 0.752
Ge: 0.170 0.170 0.011
Ge: 0.830 0.830 0.989
I: 0.341 0.341 0.611
I: 0.659 0.659 0.389

Calculated values
For the density of states at the Fermi level, the calculation gives 0.6 states/eV per cell. As for the raw total energy: -3.07 eV per atom. Its raw formation energy is -0.64 eV per atom. The energy relative to the lowest polymorph listed for this composition is 0.0 meV per atom. The value obtained for the spin magnetization is 0.00 μB/cell. Its space group is C2/m (12).

---

Record 12
Compound: PmErAlTc
Source: the Alexandria database
Functional: PBE-GGA
Structure: optimized geometry

Cell lengths 5.017, 5.017, 5.017 Å; angles 60.00, 60.00, 60.00 degrees
Element x y z (fractional)
Pm: 0.000 0.000 0.000
Er: 0.500 0.500 0.500
Al: 0.250 0.250 0.250
Tc: 0.750 0.750 0.750

Calculated values
For the density of states at the Fermi level, the calculation gives 4.2 states/eV per cell. The formation energy from the elements comes out at -0.093 eV per atom. As for the raw total energy: -5.95 eV per atom. The value obtained for the spin magnetization is 0.00 μB/cell. Its space group is F-43m (216).

---

Record 13
Compound: KYP
Source: the Alexandria database
Functional: PBE-GGA
Structure: optimized geometry

Cell lengths 4.240, 4.240, 7.457 Å; angles 90.00, 90.00, 120.00 degrees
Element x y z (fractional)
K: 0.000 0.000 0.000
Y: 0.333 0.667 0.453
P: 0.667 0.333 0.304

Calculated values
For the density of states at the Fermi level, the calculation gives 1.7 states/eV per cell. The formation energy from the elements comes out at -0.596 eV per atom. As for the raw total energy: -4.92 eV per atom. The value obtained for the spin magnetization is 0.00 μB/cell. Its space group is P3m1 (156).